Density functional theory data (GGA-PBEsol) for a relaxed structure of BeTcPt2.

Geometry as POSCAR:
```
BeTcPt2
1.0
1.358 0.784 8.233
-1.358 0.784 8.233
0.000 -1.568 8.233
Be Tc Pt
1 1 2
Cartesian
0.000 0.000 0.000
0.000 0.000 12.350
0.000 0.000 6.382
0.000 0.000 18.317
```

## Properties
Total energy   -30.16 eV per cell
Crystal system   trigonal
Fermi-level density of states   2.93 states/eV per cell
Symmetry   No. 166
ΔE_f   -0.97 eV per formula unit

***

Density functional theory data (GGA-PBEsol) for a relaxed structure of K2AlMo.

Geometry as POSCAR:
```
K2AlMo
1.0
3.613 0.000 0.000
0.000 3.611 0.000
-0.016 0.000 10.132
K Al Mo
2 1 1
Cartesian
0.000 0.000 0.000
1.786 1.805 6.035
0.001 0.000 3.217
1.809 1.805 2.830
```

## Properties
Total energy   -15.36 eV per cell
Crystal system   monoclinic
Fermi-level density of states   2.78 states/eV per cell
Symmetry   No. 6
ΔE_f   2.77 eV per formula unit